Record 1
Computed, not measured: a geometry-optimized Sm2LuSb structure at the GGA-PBE level of DFT.

Cell and atoms, written as CIF:
```
data_Sm2LuSb
_chemical_formula_sum 'Sm2 Lu1 Sb1'
_space_group_name_H-M_alt 'P 1'
_space_group_IT_number 1
_cell_length_a 4.051
_cell_length_b 4.051
_cell_length_c 9.764
_cell_angle_alpha 78.03
_cell_angle_beta 78.03
_cell_angle_gamma 60.00
loop_
_space_group_symop_operation_xyz
'x,y,z'
loop_
_atom_site_label
_atom_site_type_symbol
_atom_site_fract_x
_atom_site_fract_y
_atom_site_fract_z
Sb1 Sb 0.000 0.000 0.000
Sm1 Sm 0.264 0.264 0.209
Sm2 Sm 0.736 0.736 0.791
Lu1 Lu 0.500 0.500 0.500
```

Output
final energy	-0.177	hartree per atom
distance to the lowest polymorph of the same formula	227	meV/atom
energy relative to the elements, uncorrected	-27.5	kJ/mol of atoms

=====

Record 2
Computed, not measured: a geometry-optimized SmLuSb structure at the GGA-PBE level of DFT.

Cell and atoms, written as CIF:
```
data_SmLuSb
_chemical_formula_sum 'Sm1 Lu1 Sb1'
_space_group_name_H-M_alt 'P 1'
_space_group_IT_number 1
_cell_length_a 4.025
_cell_length_b 5.043
_cell_length_c 5.043
_cell_angle_alpha 120.00
_cell_angle_beta 90.00
_cell_angle_gamma 90.00
loop_
_space_group_symop_operation_xyz
'x,y,z'
loop_
_atom_site_label
_atom_site_type_symbol
_atom_site_fract_x
_atom_site_fract_y
_atom_site_fract_z
Sb1 Sb 0.264 0.333 0.667
Lu1 Lu 0.106 0.000 0.000
Sm1 Sm 0.630 0.667 0.333
```

Output
final energy	-0.180	hartree per atom
energy relative to the elements, uncorrected	-41.7	kJ/mol of atoms

=====

Record 3
Computed, not measured: a geometry-optimized LuSnSb structure at the GGA-PBE level of DFT.

Cell and atoms, written as CIF:
```
data_LuSnSb
_chemical_formula_sum 'Lu1 Sn1 Sb1'
_space_group_name_H-M_alt 'P 1'
_space_group_IT_number 1
_cell_length_a 3.224
_cell_length_b 5.339
_cell_length_c 5.339
_cell_angle_alpha 120.00
_cell_angle_beta 90.00
_cell_angle_gamma 90.00
loop_
_space_group_symop_operation_xyz
'x,y,z'
loop_
_atom_site_label
_atom_site_type_symbol
_atom_site_fract_x
_atom_site_fract_y
_atom_site_fract_z
Sb1 Sb 0.833 0.000 0.000
Lu1 Lu 0.333 0.333 0.667
Sn1 Sn 0.834 0.667 0.333
```

Output
final energy	-0.164	hartree per atom
energy relative to the elements, uncorrected	-24.6	kJ/mol of atoms

=====

Fermi-level density of states for every record listed, in sequence, given in states/eV/f.u.: 5.19 3.20 2.37.